# ErZrPtRh

ErZrPtRh after structural relaxation (GGA-PBE, Alexandria via LeMat-Bulk).

Summary:
Symmetry: F-43m (216)
Theoretical density, Mg/m³: 11.96
Total magnetic moment, μB per cell: 0.0
E, eV for the cell shown: -30.2

Cell lengths 4.7803, 4.7803, 4.7803 Å; angles 60.00, 60.00, 60.00 degrees
Fractional positions:
Zr 0.0000 0.0000 0.0000
Rh 0.2500 0.2500 0.2500
Pt 0.7500 0.7500 0.7500
Er 0.5000 0.5000 0.5000

# LiInHgGe

LiInHgGe after structural relaxation (GGA-PBE, Alexandria via LeMat-Bulk).

Summary:
Symmetry: F-43m (216)
Theoretical density, Mg/m³: 7.69
Total magnetic moment, μB per cell: 0.0
E, eV for the cell shown: -9.9

Cell lengths 4.9400, 4.9400, 4.9400 Å; angles 60.00, 60.00, 60.00 degrees
Fractional positions:
Hg 0.7500 0.7500 0.7500
Ge 0.2500 0.2500 0.2500
In 0.0000 0.0000 0.0000
Li 0.5000 0.5000 0.5000

# K2SrH

K2SrH after structural relaxation (GGA-PBE, Alexandria via LeMat-Bulk).

Summary:
Symmetry: Fm-3m (225)
Theoretical density, Mg/m³: 1.35
Total magnetic moment, μB per cell: 0.0
E, eV for the cell shown: -5.0

Cell lengths 6.6182, 6.6182, 6.6182 Å; angles 60.00, 60.00, 60.00 degrees
Fractional positions:
K 0.2500 0.2500 0.2500
K 0.7500 0.7500 0.7500
H 0.0000 0.0000 0.0000
Sr 0.5000 0.5000 0.5000

# Ac8Ge3RuBr4

Ac8Ge3RuBr4 after structural relaxation (GGA-PBE, Alexandria via LeMat-Bulk).

Summary:
Energy relative to the elements, uncorrected, meV per atom: -1045.3
Symmetry: R-3m (166)
Theoretical density, Mg/m³: 7.33
Total magnetic moment, μB per cell: 0.0

Cell lengths 9.1254, 9.3407, 9.1262 Å; angles 119.26, 120.00, 90.00 degrees
Fractional positions:
Ac 0.7725 0.2930 0.5451
Ac 0.2600 0.2800 0.5199
Ac 0.7400 0.7200 0.4801
Ac 0.2476 0.2932 0.0204
Ac 0.7728 0.2932 0.0204
Ac 0.7524 0.7068 0.9796
Ac 0.2275 0.7070 0.4549
Ac 0.2272 0.7068 0.9796
Br 0.0000 0.0000 0.0000
Br 0.0000 0.0000 0.5000
Br 0.5000 0.0000 0.5000
Br 0.5000 0.0000 0.0000
Ge 0.5000 0.5000 0.0000
Ge 0.0000 0.5000 0.5000
Ge 0.5000 0.5000 0.5000
Ru 0.0000 0.5000 0.0000

# KNaGa2Pt

KNaGa2Pt after structural relaxation (GGA-PBE, Alexandria via LeMat-Bulk).

Summary:
Symmetry: P4/mmm (123)
Theoretical density, Mg/m³: 4.95
Total magnetic moment, μB per cell: 0.0
E, eV for the cell shown: -16.2

Cell lengths 4.8661, 4.8661, 5.6155 Å; angles 90.00, 90.00, 90.00 degrees
Fractional positions:
Pt 0.0000 0.0000 0.0000
K 0.5000 0.5000 0.5000
Na 0.0000 0.0000 0.5000
Ga 0.5000 0.0000 0.0000
Ga 0.0000 0.5000 0.0000

# YTmLu2

YTmLu2 after structural relaxation (GGA-PBE, Alexandria via LeMat-Bulk).

Summary:
Symmetry: P4/mmm (123)
Theoretical density, Mg/m³: 8.35
Total magnetic moment, μB per cell: 0.0
E, eV for the cell shown: -19.8

Cell lengths 4.9382, 4.9473, 4.9473 Å; angles 90.00, 90.00, 90.00 degrees
Fractional positions:
Tm 0.5000 0.5000 0.5000
Lu 0.0000 0.0000 0.5000
Lu 0.0000 0.5000 0.0000
Y 0.5000 0.0000 0.0000

# La2TbPuSe4

La2TbPuSe4 after structural relaxation (GGA-PBE, Alexandria via LeMat-Bulk).

Summary:
Energy relative to the elements, uncorrected, meV per atom: -1835.1
Symmetry: P2/m (10)
Theoretical density, Mg/m³: 7.80
Total magnetic moment, μB per cell: 5.9

Cell lengths 4.1972, 7.2918, 7.3410 Å; angles 109.19, 90.00, 90.00 degrees
Fractional positions:
Se 0.5000 0.7571 0.7651
Se 0.0000 0.2529 0.7640
Se 0.0000 0.7471 0.2360
Se 0.5000 0.2429 0.2349
Tb 0.0000 0.0000 0.0000
La 0.0000 0.5000 0.5000
La 0.5000 0.0000 0.5000
Pu 0.5000 0.5000 0.0000

# MgIrF

MgIrF after structural relaxation (GGA-PBE, Alexandria via LeMat-Bulk).

Summary:
Energy relative to the elements, uncorrected, meV per atom: -623.3
Symmetry: P6_3/mmc (194)
Theoretical density, Mg/m³: 8.36
Total magnetic moment, μB per cell: 0.9

Cell lengths 3.1000, 3.1000, 11.2368 Å; angles 90.00, 90.00, 120.00 degrees
Fractional positions:
Ir 0.0000 0.0000 0.0000
Ir 0.0000 0.0000 0.5000
Mg 0.3333 0.6667 0.2500
Mg 0.6667 0.3333 0.7500
F 0.0000 0.0000 0.7500
F 0.0000 0.0000 0.2500